{
  "formula": "LiCu2C",
  "functional": "SCAN",
  "state": "PBEsol geometry",
  "cell": [[3.703, 0.000, 0.000], [1.851, 3.207, 0.000], [1.851, 1.069, 3.023]],
  "species": ["Cu", "Cu", "Li", "C"],
  "frac_coords": [[0.250, 0.250, 0.250], [0.750, 0.750, 0.750], [0.000, 0.000, 0.000], [0.500, 0.500, 0.500]],
  "magmom_total_mub_per_cell": 0.000,
  "delta_e_f_ev_per_atom": 0.736,
  "final_energy_ev_per_atom": -9.99
}